A relaxed HfCuIrPt crystal, computed with PBE.

Output
- total magnetic moment (μB per formula unit) = 0.0
- formation energy from the elements (eV per atom) = -0.643
- final energy (eV per atom) = -7.88
- E above lowest polymorph (meV per atom) = 123
- space group = F-43m, No. 216

Unit cell a=4.467 b=4.467 c=4.467 alpha=60.00 beta=60.00 gamma=60.00
Positions (direct):
1 Ir 0.250 0.250 0.250
2 Hf 0.000 0.000 0.000
3 Cu 0.500 0.500 0.500
4 Pt 0.750 0.750 0.750



A relaxed PuHfCuIr crystal, computed with PBE.

Output
- total magnetic moment (μB per formula unit) = 5.3
- formation energy from the elements (eV per atom) = -0.301
- final energy (eV per atom) = -9.61
- space group = F-43m, No. 216

Unit cell a=4.744 b=4.744 c=4.744 alpha=60.00 beta=60.00 gamma=60.00
Site moments in Bohr magnetons follow the coordinates.
Positions (direct):
1 Ir 0.750 0.750 0.750  -0.21
2 Hf 0.000 0.000 0.000  0.17
3 Cu 0.250 0.250 0.250  0.03
4 Pu 0.500 0.500 0.500  5.01



A relaxed HfCuIrRh crystal, computed with PBE.

Output
- total magnetic moment (μB per formula unit) = 0.0
- formation energy from the elements (eV per atom) = -0.559
- final energy (eV per atom) = -8.12
- E above lowest polymorph (meV per atom) = 88
- space group = F-43m, No. 216

Unit cell a=4.430 b=4.430 c=4.430 alpha=60.00 beta=60.00 gamma=60.00
Positions (direct):
1 Rh 0.750 0.750 0.750
2 Ir 0.250 0.250 0.250
3 Hf 0.000 0.000 0.000
4 Cu 0.500 0.500 0.500



A relaxed HfCuIrRh crystal, computed with PBE.

Output
- total magnetic moment (μB per formula unit) = 0.0
- formation energy from the elements (eV per atom) = -0.646
- final energy (eV per atom) = -8.21
- E above lowest polymorph (meV per atom) = 0
- space group = Pmmm, No. 47

Unit cell a=3.726 b=4.036 c=4.014 alpha=90.00 beta=90.00 gamma=90.00
Positions (direct):
1 Hf 0.500 0.500 0.000
2 Cu 0.500 0.000 0.500
3 Ir 0.000 0.000 0.000
4 Rh 0.000 0.500 0.500



A relaxed HfScCuIr crystal, computed with PBE.

Output
- total magnetic moment (μB per formula unit) = 0.0
- formation energy from the elements (eV per atom) = -0.649
- final energy (eV per atom) = -7.96
- space group = F-43m, No. 216

Unit cell a=4.602 b=4.602 c=4.602 alpha=60.00 beta=60.00 gamma=60.00
Positions (direct):
1 Sc 0.500 0.500 0.500
2 Ir 0.750 0.750 0.750
3 Hf 0.000 0.000 0.000
4 Cu 0.250 0.250 0.250



A relaxed HfCuSnIr crystal, computed with PBE.

Output
- total magnetic moment (μB per formula unit) = 0.0
- formation energy from the elements (eV per atom) = -0.458
- final energy (eV per atom) = -7.19
- space group = F-43m, No. 216

Unit cell a=4.586 b=4.586 c=4.586 alpha=60.00 beta=60.00 gamma=60.00
Positions (direct):
1 Ir 0.000 0.000 0.000
2 Hf 0.750 0.750 0.750
3 Sn 0.250 0.250 0.250
4 Cu 0.500 0.500 0.500



A relaxed Hf2TiCuIr crystal, computed with PBE.

Output
- total magnetic moment (μB per formula unit) = 0.0
- formation energy from the elements (eV per atom) = 1.151
- final energy (eV per atom) = -7.00
- space group = P4/mmm, No. 123

Unit cell a=4.781 b=4.781 c=4.375 alpha=90.00 beta=90.00 gamma=90.00
Positions (direct):
1 Ir 0.500 0.500 0.500
2 Hf 0.000 0.500 0.000
3 Hf 0.500 0.000 0.000
4 Cu 0.000 0.000 0.500
5 Ti 0.000 0.000 0.000



A relaxed HfTiCuIr crystal, computed with PBE.

Output
- total magnetic moment (μB per formula unit) = 0.0
- formation energy from the elements (eV per atom) = -0.522
- final energy (eV per atom) = -8.22
- space group = F-43m, No. 216

Unit cell a=4.508 b=4.508 c=4.508 alpha=60.00 beta=60.00 gamma=60.00
Positions (direct):
1 Ir 0.000 0.000 0.000
2 Hf 0.750 0.750 0.750
3 Cu 0.500 0.500 0.500
4 Ti 0.250 0.250 0.250



A relaxed HfVCuIr crystal, computed with PBE.

Output
- total magnetic moment (μB per formula unit) = 1.5
- formation energy from the elements (eV per atom) = -0.255
- final energy (eV per atom) = -8.26
- space group = F-43m, No. 216

Unit cell a=4.460 b=4.460 c=4.460 alpha=60.00 beta=60.00 gamma=60.00
Site moments in Bohr magnetons follow the coordinates.
Positions (direct):
1 Ir 0.250 0.250 0.250  -0.01
2 Hf 0.000 0.000 0.000  -0.01
3 Cu 0.750 0.750 0.750  0.03
4 V 0.500 0.500 0.500  1.31



A relaxed YHfCuIr crystal, computed with PBE.

Output
- total magnetic moment (μB per formula unit) = 0.0
- formation energy from the elements (eV per atom) = -0.514
- final energy (eV per atom) = -7.86
- space group = F-43m, No. 216

Unit cell a=4.749 b=4.749 c=4.749 alpha=60.00 beta=60.00 gamma=60.00
Positions (direct):
1 Y 0.000 0.000 0.000
2 Ir 0.750 0.750 0.750
3 Hf 0.500 0.500 0.500
4 Cu 0.250 0.250 0.250



A relaxed HfZnCuIr crystal, computed with PBE.

Output
- total magnetic moment (μB per formula unit) = 0.0
- formation energy from the elements (eV per atom) = -0.432
- final energy (eV per atom) = -6.48
- E above lowest polymorph (meV per atom) = 2
- space group = F-43m, No. 216

Unit cell a=4.448 b=4.448 c=4.448 alpha=60.00 beta=60.00 gamma=60.00
Positions (direct):
1 Zn 0.500 0.500 0.500
2 Ir 0.750 0.750 0.750
3 Hf 0.000 0.000 0.000
4 Cu 0.250 0.250 0.250



A relaxed HfZnCuIr crystal, computed with PBE.

Output
- total magnetic moment (μB per formula unit) = 0.0
- formation energy from the elements (eV per atom) = -0.434
- final energy (eV per atom) = -6.48
- E above lowest polymorph (meV per atom) = 0
- space group = I-4m2, No. 119

Unit cell a=4.056 b=4.057 c=4.717 alpha=115.46 beta=115.47 gamma=90.00
Positions (direct):
1 Hf 0.250 0.750 0.500
2 Zn 0.750 0.250 0.500
3 Cu 0.500 0.500 0.000
4 Ir 0.000 0.000 0.000



A relaxed HfZrCuIr crystal, computed with PBE.

Output
- total magnetic moment (μB per formula unit) = 0.0
- formation energy from the elements (eV per atom) = -0.543
- final energy (eV per atom) = -8.41
- space group = F-43m, No. 216

Unit cell a=4.639 b=4.639 c=4.639 alpha=60.00 beta=60.00 gamma=60.00
Positions (direct):
1 Ir 0.000 0.000 0.000
2 Hf 0.750 0.750 0.750
3 Cu 0.500 0.500 0.500
4 Zr 0.250 0.250 0.250



A relaxed HfZrCuIr2 crystal, computed with PBE.

Output
- total magnetic moment (μB per formula unit) = 0.0
- formation energy from the elements (eV per atom) = 1.363
- final energy (eV per atom) = -6.70
- space group = P4/mmm, No. 123

Unit cell a=4.787 b=5.117 c=4.787 alpha=90.00 beta=90.00 gamma=90.00
Positions (direct):
1 Ir 0.000 0.000 0.500
2 Ir 0.500 0.000 0.000
3 Hf 0.000 0.000 0.000
4 Cu 0.500 0.500 0.500
5 Zr 0.000 0.500 0.000



A relaxed KHf2Cu crystal, computed with PBE.

Output
- total magnetic moment (μB per formula unit) = 0.0
- formation energy from the elements (eV per atom) = 1.260
- final energy (eV per atom) = -5.01
- E above lowest polymorph (meV per atom) = 170
- space group = I-42d, No. 122

Unit cell a=5.671 b=5.671 c=9.526 alpha=72.68 beta=72.68 gamma=90.00
Positions (direct):
1 K 0.500 0.500 0.000
2 K 0.250 0.750 0.500
3 Hf 0.874 0.125 0.250
4 Hf 0.876 0.625 0.250
5 Hf 0.375 0.126 0.750
6 Hf 0.875 0.124 0.750
7 Cu 0.000 0.000 0.000
8 Cu 0.750 0.250 0.500



A relaxed KHf2Cu crystal, computed with PBE.

Output
- total magnetic moment (μB per formula unit) = 0.0
- formation energy from the elements (eV per atom) = 1.090
- final energy (eV per atom) = -5.19
- E above lowest polymorph (meV per atom) = 0
- space group = Fm-3m, No. 225

Unit cell a=4.904 b=4.904 c=4.904 alpha=60.00 beta=60.00 gamma=60.00
Positions (direct):
1 K 0.000 0.000 0.000
2 Hf 0.250 0.250 0.250
3 Hf 0.750 0.750 0.750
4 Cu 0.500 0.500 0.500



A relaxed K2HfCu crystal, computed with PBE.

Output
- total magnetic moment (μB per formula unit) = 2.8
- formation energy from the elements (eV per atom) = 1.416
- final energy (eV per atom) = -2.64
- E above lowest polymorph (meV per atom) = 368
- space group = Fm-3m, No. 225

Unit cell a=5.831 b=5.831 c=5.831 alpha=60.00 beta=60.00 gamma=60.00
Site moments in Bohr magnetons follow the coordinates.
Positions (direct):
1 K 0.250 0.250 0.250  0.04
2 K 0.750 0.750 0.750  0.04
3 Hf 0.500 0.500 0.500  1.36
4 Cu 0.000 0.000 0.000  0.02



A relaxed K2HfCu crystal, computed with PBE.

Output
- total magnetic moment (μB per formula unit) = 0.0
- formation energy from the elements (eV per atom) = 1.048
- final energy (eV per atom) = -3.01
- E above lowest polymorph (meV per atom) = 0
- space group = I-42d, No. 122

Unit cell a=12.035 b=12.035 c=8.864 alpha=47.25 beta=47.25 gamma=90.00
Positions (direct):
1 K 0.478 0.125 0.250
2 K 0.272 0.625 0.250
3 K 0.375 0.522 0.750
4 K 0.875 0.728 0.750
5 Hf 0.000 0.000 0.000
6 Hf 0.750 0.250 0.500
7 Cu 0.500 0.500 0.000
8 Cu 0.250 0.750 0.500



A relaxed KHfCu2 crystal, computed with PBE.

Output
- total magnetic moment (μB per formula unit) = 0.0
- formation energy from the elements (eV per atom) = 0.745
- final energy (eV per atom) = -4.07
- E above lowest polymorph (meV per atom) = 0
- space group = Fm-3m, No. 225

Unit cell a=4.849 b=4.849 c=4.849 alpha=60.00 beta=60.00 gamma=60.00
Positions (direct):
1 K 0.000 0.000 0.000
2 Hf 0.500 0.500 0.500
3 Cu 0.250 0.250 0.250
4 Cu 0.750 0.750 0.750



A relaxed KHfCu2 crystal, computed with PBE.

Output
- total magnetic moment (μB per formula unit) = 0.0
- formation energy from the elements (eV per atom) = 0.864
- final energy (eV per atom) = -3.95
- E above lowest polymorph (meV per atom) = 119
- space group = I-42d, No. 122

Unit cell a=7.531 b=7.531 c=6.378 alpha=53.82 beta=53.82 gamma=90.00
Positions (direct):
1 K 0.500 0.500 0.000
2 K 0.250 0.750 0.500
3 Hf 0.000 0.000 0.000
4 Hf 0.750 0.250 0.500
5 Cu 0.674 0.125 0.250
6 Cu 0.076 0.625 0.250
7 Cu 0.375 0.326 0.750
8 Cu 0.875 0.924 0.750